No. 1
{
  "formula": "La2Ag",
  "functional": "SCAN",
  "state": "PBEsol geometry",
  "lattice_angstrom": [[-1.5136, 1.6856, -3.3301], [-4.8821, -0.1591, 4.5741], [1.9799, 6.4106, 2.3450]],
  "species": ["La", "La", "La", "La", "Ag", "Ag"],
  "frac_coords": [[0.3327, 0.6654, 0.7152], [0.3894, 0.7788, 0.2148], [0.6632, 0.3265, 0.0144], [0.0589, 0.1178, 0.5135], [0.7431, 0.4861, 0.4381], [0.9794, 0.9588, 0.9375]],
  "final_energy_ev_per_fu": -118.1,
  "ef_ev_per_atom": -0.191,
  "crystal_system": "monoclinic"
}



No. 2
{
  "formula": "Ni5Rh",
  "functional": "SCAN",
  "state": "PBEsol geometry",
  "lattice_angstrom": [[2.5244, 0.0000, 0.0000], [0.0000, 4.9950, -0.0004], [-1.2622, -1.2460, 5.2394]],
  "species": ["Ni", "Ni", "Ni", "Ni", "Ni", "Rh"],
  "frac_coords": [[0.6698, 0.8300, 0.3396], [0.3320, 0.6612, 0.6640], [0.6680, 0.3388, 0.3360], [0.0000, 0.5000, 0.0000], [0.3302, 0.1700, 0.6604], [0.0000, 0.0000, 0.0000]],
  "final_energy_ev_per_fu": -114.5,
  "ef_ev_per_atom": 0.018,
  "crystal_system": "monoclinic"
}



No. 3
{
  "formula": "La2InTe",
  "functional": "SCAN",
  "state": "PBEsol geometry",
  "lattice_angstrom": [[4.2761, 0.0000, 0.0000], [0.0000, 4.7978, 0.0000], [0.0000, 0.0000, 6.4331]],
  "species": ["In", "La", "La", "Te"],
  "frac_coords": [[0.0000, 0.0000, 0.5000], [0.0000, 0.0000, 0.0000], [0.5000, 0.5000, 0.5000], [0.5000, 0.5000, 0.0000]],
  "final_energy_ev_per_fu": -161.4,
  "de_polymorph_mev_per_atom": 0,
  "crystal_system": "orthorhombic"
}



No. 4
{
  "formula": "BePt2Rh",
  "functional": "SCAN",
  "state": "PBEsol geometry",
  "lattice_angstrom": [[2.7012, 0.0000, 0.0000], [1.3506, 2.3393, 0.0000], [1.3506, 0.7798, 8.2727]],
  "species": ["Rh", "Pt", "Pt", "Be"],
  "frac_coords": [[0.5112, 0.5112, 0.4663], [0.7522, 0.7522, 0.7435], [0.9880, 0.9880, 0.0361], [0.2487, 0.2487, 0.2540]],
  "final_energy_ev_per_fu": -179.8,
  "ef_ev_per_atom": -0.313,
  "crystal_system": "trigonal"
}



Q: What is the formula in the second record?
A: Ni5Rh